This record from Alexandria via LeMat-Bulk describes an optimized crystal structure of Rb3H2Br. The functional is PBE.

POSCAR file:
```
Rb3H2Br
1.0
0.2530 -8.4068 -0.7574
7.1209 -3.7926 -2.6013
5.3280 -4.5140 4.8058
H Rb Br
4 6 2
Cartesian
5.3932 -6.5553 0.6671
11.6000 -10.1229 1.8221
1.1018 -6.5905 -0.3751
7.3087 -10.1581 0.7799
6.6455 -3.9839 -0.6372
2.7905 -6.4604 2.0242
5.8755 -8.5480 2.6876
6.8264 -8.1654 -1.2406
3.6870 -6.0997 -1.6794
5.8034 -4.3227 2.8417
3.1531 -3.4341 0.4288
9.5488 -13.2793 1.0182
```

Total moment = 0.00 μB per formula unit
DOS(E_F) = 0.000 states/eV/cell
Raw total energy = -2.4840 eV/atom
SG = No. 74

---

This record from Alexandria via LeMat-Bulk describes an optimized crystal structure of CdAgI. The functional is PBE.

POSCAR file:
```
CdAgI
1.0
-2.5399 0.0792 -3.1743
-2.8158 -2.1073 2.2005
-2.8762 9.1959 5.1260
Cd Ag I
2 2 2
Cartesian
-4.9726 7.5805 4.8073
-2.7001 6.7159 2.9764
-5.4106 5.7754 2.5181
-3.1910 5.0069 0.7116
-2.9157 2.9511 3.0061
-1.3954 1.1153 -0.7175
```

Total moment = 0.00 μB per formula unit
DOS(E_F) = 1.350 states/eV/cell
Raw total energy = -1.8888 eV/atom
SG = No. 6
ΔE to the lowest computed polymorph = 36 meV/atom

---

This record from Alexandria via LeMat-Bulk describes an optimized crystal structure of PmScAg2. The functional is PBE.

POSCAR file:
```
PmScAg2
1.0
5.0891 0.0000 0.0000
2.5445 4.4072 0.0000
2.5445 1.4691 4.1552
Sc Pm Ag
1 1 2
Cartesian
5.0891 2.9382 2.0776
0.0000 0.0000 0.0000
2.5445 1.4691 1.0388
7.6336 4.4072 3.1164
```

Total moment = 0.00 μB per formula unit
DOS(E_F) = 4.072 states/eV/cell
Raw total energy = -4.4298 eV/atom
SG = No. 225
ΔE to the lowest computed polymorph = 30 meV/atom
ΔE_f = -233.6 meV/atom

---

This record from Alexandria via LeMat-Bulk describes an optimized crystal structure of CsMg6Al. The functional is PBE.

POSCAR file:
```
CsMg6Al
1.0
3.9174 -5.6247 0.0000
3.9174 5.6247 0.0000
0.0000 0.0000 5.0994
Mg Al Cs
6 1 1
Cartesian
6.3527 -1.5855 0.0000
3.9174 -4.3975 0.0000
2.2688 1.4857 2.5497
1.4821 -1.5855 0.0000
3.9174 1.1188 0.0000
5.5660 1.4857 2.5497
3.9174 5.0782 2.5497
3.9174 -1.5998 2.5497
```

Total moment = 0.00 μB per formula unit
DOS(E_F) = 3.702 states/eV/cell
Raw total energy = -1.4876 eV/atom
SG = No. 38
ΔE to the lowest computed polymorph = 93 meV/atom
ΔE_f = 282.9 meV/atom

---

This record from Alexandria via LeMat-Bulk describes an optimized crystal structure of SrHgSb2I. The functional is PBE.

POSCAR file:
```
SrHgSb2I
1.0
5.4917 0.0000 0.0000
0.0000 5.4917 0.0000
0.0000 0.0000 6.5909
Sb Hg I Sr
2 1 1 1
Cartesian
2.7458 0.0000 0.0000
0.0000 2.7458 0.0000
0.0000 0.0000 0.0000
0.0000 0.0000 3.2954
2.7458 2.7458 3.2954
```

Total moment = 0.54 μB per formula unit
DOS(E_F) = 5.347 states/eV/cell
Raw total energy = -2.4054 eV/atom
SG = No. 123
ΔE to the lowest computed polymorph = 0 meV/atom

---

This record from Alexandria via LeMat-Bulk describes an optimized crystal structure of CeHoLuPu. The functional is PBE.

POSCAR file:
```
CeHoLuPu
1.0
-2.6884 -3.6809 3.0589
-3.2389 -3.7242 -2.4026
1.4997 -5.2794 -0.1093
Ho Pu Lu Ce
1 1 1 1
Cartesian
-2.2138 -6.3422 0.2735
0.0000 0.0000 0.0000
-1.1069 -3.1711 0.1367
-3.3207 -9.5133 0.4102
```

Total moment = 8.48 μB per formula unit
DOS(E_F) = 9.453 states/eV/cell
Raw total energy = -7.1619 eV/atom
SG = No. 216
ΔE_f = 179.2 meV/atom

---

This record from Alexandria via LeMat-Bulk describes an optimized crystal structure of In2AgMo. The functional is PBE.

POSCAR file:
```
In2AgMo
1.0
9.6735 -0.0100 -0.0059
9.1849 3.0354 -0.0059
9.1849 1.4735 2.6538
In Ag Mo
2 1 1
Cartesian
14.0844 2.2596 1.3269
27.9804 4.4889 2.6361
21.0324 3.3742 1.9815
7.0108 1.1247 0.6605
```

Total moment = 0.39 μB per formula unit
DOS(E_F) = 2.818 states/eV/cell
Raw total energy = -4.4908 eV/atom
SG = No. 166
ΔE to the lowest computed polymorph = 48 meV/atom
ΔE_f = 299.0 meV/atom

---

This record from Alexandria via LeMat-Bulk describes an optimized crystal structure of LiNiHPt2. The functional is PBE.

POSCAR file:
```
LiNiHPt2
1.0
-0.4010 -2.4224 -3.0409
3.7340 -1.0914 0.3771
-1.0287 -2.7229 2.3047
Pt H Ni Li
2 1 1 1
Cartesian
1.8670 -0.5457 0.1885
-0.2005 -1.2112 -1.5205
0.0000 0.0000 0.0000
1.1522 -3.1184 -0.1796
-0.5143 -1.3614 1.1523
```

Total moment = 1.12 μB per formula unit
DOS(E_F) = 2.760 states/eV/cell
Raw total energy = -4.8717 eV/atom
SG = No. 123
ΔE to the lowest computed polymorph = 0 meV/atom